[1]
Density functional theory data (PBE) for a geometry-optimized Sr2TaAgI structure.

Unit cell a=6.164 b=6.164 c=5.241 alpha=90.00 beta=90.00 gamma=90.00
Positions (direct):
Sr  0.000  0.500  0.000
Sr  0.500  0.000  0.000
Ta  0.000  0.000  0.000
Ag  0.500  0.500  0.500
I  0.000  0.000  0.500

## Properties
Crystal system: tetragonal
Density of states at the Fermi level, states/eV/atom: 0.5273
ΔE_f (raw), eV per atom: 0.67
E, eV/atom: -3.26
Size of the total moment, μB/f.u.: 0.00

[2]
Density functional theory data (PBE) for a geometry-optimized SrAgTeI structure.

Unit cell a=15.570 b=15.570 c=15.570 alpha=17.56 beta=17.56 gamma=17.56
Positions (direct):
Sr  0.084  0.084  0.084
Sr  0.916  0.916  0.916
Ag  0.312  0.312  0.312
Ag  0.688  0.688  0.688
Te  0.375  0.375  0.375
Te  0.625  0.625  0.625
I  0.210  0.210  0.210
I  0.790  0.790  0.790

## Properties
Crystal system: trigonal
Density of states at the Fermi level, states/eV/atom: 0.0000
ΔE_f (raw), eV per atom: -1.10
E, eV/atom: -3.40
Size of the total moment, μB/f.u.: 0.00

[3]
Density functional theory data (PBE) for a geometry-optimized SrAgTe2I structure.

Unit cell a=5.491 b=5.491 c=5.844 alpha=90.00 beta=90.00 gamma=90.00
Positions (direct):
Sr  0.000  0.000  0.000
Ag  0.500  0.500  0.500
Te  0.000  0.500  0.500
Te  0.500  0.000  0.500
I  0.500  0.500  0.000

## Properties
Crystal system: tetragonal
Density of states at the Fermi level, states/eV/atom: 0.5498
ΔE_f (raw), eV per atom: -0.46
Energy above the lowest structure with this stoichiometry, meV per atom: 0.0
E, eV/atom: -2.93
Size of the total moment, μB/f.u.: 0.00

[4]
Density functional theory data (PBE) for a geometry-optimized SrAgTe2I structure.

Unit cell a=6.320 b=6.320 c=6.267 alpha=90.00 beta=90.00 gamma=90.00
Positions (direct):
Sr  0.000  0.000  0.000
Ag  0.500  0.500  0.500
Te  0.000  0.500  0.000
Te  0.500  0.000  0.000
I  0.000  0.000  0.500

## Properties
Crystal system: tetragonal
Density of states at the Fermi level, states/eV/atom: 1.1051
ΔE_f (raw), eV per atom: 0.08
Energy above the lowest structure with this stoichiometry, meV per atom: 540.2
E, eV/atom: -2.39
Size of the total moment, μB/f.u.: 1.81

Question: Which formula does entry 2 have?
Answer: SrAgTeI

Question: Which of these has the highest ΔE_f (raw)?
Answer: Sr2TaAgI

Question: The highest size of the total moment belongs to which entry?
Answer: number 4